# PmTmSe2O

Crystalline PmTmSe2O at its relaxed geometry (PBE, the Alexandria database).

abc: 4.009 4.009 14.462
angles: 90.00 90.00 90.00
Space group P4/nmm (No. 129, origin choice 2)
Inequivalent atoms, fractional coordinates:
Pm 0.250 0.250 0.082 (multiplicity 2)
Tm 0.250 0.250 0.623 (multiplicity 2)
Se 0.250 0.250 0.412 (multiplicity 2)
Se 0.250 0.250 0.802 (multiplicity 2)
O 0.250 0.750 0.000 (multiplicity 2)

E	-0.2431	Ha/atom
raw formation energy	-2.386	eV per atom